Entry 1:
Below is a geometry-optimized BiRuWSe2 structure, with properties calculated at the PBE-GGA level.

Results
Uncorrected formation energy, eV per atom: 0.96

```
data_BiRuWSe2
_chemical_formula_sum 'Bi1 Ru1 W1 Se2'
_cell_length_a 4.909
_cell_length_b 4.909
_cell_length_c 4.842
_cell_angle_alpha 90.00
_cell_angle_beta 90.00
_cell_angle_gamma 90.00
_space_group_name_H-M_alt 'P 4/m m m'
_space_group_IT_number 123
_space_group_name_Hall '-P 4 2'
loop_
_atom_site_label
_atom_site_type_symbol
_atom_site_fract_x
_atom_site_fract_y
_atom_site_fract_z
Bi1 Bi 0.000 0.000 0.000
Ru1 Ru 0.500 0.500 0.500
W1 W 0.500 0.500 0.000
Se1 Se 0.000 0.500 0.500
```



Entry 2:
Below is a geometry-optimized Fe2CuW structure, with properties calculated at the PBE-GGA level.

Results
Formation energy, kJ per mole of atoms: 24

```
data_Fe2CuW
_chemical_formula_sum 'Fe4 Cu2 W2'
_cell_length_a 8.615
_cell_length_b 2.597
_cell_length_c 4.639
_cell_angle_alpha 90.00
_cell_angle_beta 98.04
_cell_angle_gamma 90.00
_space_group_name_H-M_alt 'C 1 2/m 1'
_space_group_IT_number 12
loop_
_space_group_symop_operation_xyz
'x,y,z'
'-x,-y,-z'
'-x,y,-z'
'x,-y,z'
'x+1/2,y+1/2,z'
'-x+1/2,-y+1/2,-z'
'-x+1/2,y+1/2,-z'
'x+1/2,-y+1/2,z'
loop_
_atom_site_label
_atom_site_type_symbol
_atom_site_fract_x
_atom_site_fract_y
_atom_site_fract_z
Fe1 Fe 0.245 0.000 0.242
Cu1 Cu 0.000 0.500 0.000
W1 W 0.000 0.000 0.500
```



Entry 3:
Below is a geometry-optimized InC3 structure, with properties calculated at the PBE-GGA level.

Results
Formation energy, kJ per mole of atoms: 262

```
data_InC3
_chemical_formula_sum 'In4 C12'
_cell_length_a 4.5988
_cell_length_b 4.5988
_cell_length_c 11.2943
_cell_angle_alpha 90.00
_cell_angle_beta 90.00
_cell_angle_gamma 120.00
_space_group_name_H-M_alt 'P 63/m m c'
_space_group_IT_number 194
_space_group_name_Hall '-P 6c 2c'
loop_
_atom_site_label
_atom_site_type_symbol
_atom_site_fract_x
_atom_site_fract_y
_atom_site_fract_z
In1 In 0.0000 0.0000 0.0000
In2 In 0.3333 0.6667 0.2500
C1 C 0.0000 0.5000 0.0000
C2 C 0.2284 0.4569 0.7500
```



Entry 4:
Below is a geometry-optimized SrPu3Br8 structure, with properties calculated at the PBE-GGA level.

Results
Uncorrected formation energy, eV per atom: -1.58

```
data_SrPu3Br8
_chemical_formula_sum 'Sr2 Pu6 Br16'
_cell_length_a 14.539
_cell_length_b 8.722
_cell_length_c 8.541
_cell_angle_alpha 90.00
_cell_angle_beta 123.67
_cell_angle_gamma 90.00
_space_group_name_H-M_alt 'C 1 2/m 1'
_space_group_IT_number 12
loop_
_space_group_symop_operation_xyz
'x,y,z'
'-x,-y,-z'
'-x,y,-z'
'x,-y,z'
'x+1/2,y+1/2,z'
'-x+1/2,-y+1/2,-z'
'-x+1/2,y+1/2,-z'
'x+1/2,-y+1/2,z'
loop_
_atom_site_label
_atom_site_type_symbol
_atom_site_fract_x
_atom_site_fract_y
_atom_site_fract_z
Sr1 Sr 0.000 0.000 0.000
Pu1 Pu 0.000 0.500 0.000
Pu2 Pu 0.250 0.250 0.500
Br1 Br 0.003 0.255 0.248
Br2 Br 0.247 0.500 0.257
Br3 Br 0.248 0.500 0.738
```